# Sc3Hg4Pd2 | the Alexandria database | PBE | relaxed
data_Sc3Hg4Pd2
_cell_length_a 13.631
_cell_length_b 10.614
_cell_length_c 5.102
_cell_angle_alpha 90.00
_cell_angle_beta 99.89
_cell_angle_gamma 90.00
_space_group_name_H-M_alt 'C 1 2/c 1'
_space_group_IT_number 15
_space_group_name_Hall '-C 2yc'
loop_
_atom_site_label
_atom_site_fract_x
_atom_site_fract_y
_atom_site_fract_z
Sc1 0.000 0.107 0.250
Sc2 0.167 0.364 0.077
Hg1 0.058 0.364 0.527
Hg2 0.218 0.115 0.365
Pd1 0.110 0.126 0.818
# ΔE_f = -465.2 meV per atom
# M_tot = 0.00 μB per cell
# Final energy = -0.1420 hartree per atom
# Calculated density = 10.50 Mg/m³